Entry 1:
# AcAgAs2O7

A relaxed AcAgAs2O7 crystal (PBE-GGA, Alexandria via LeMat-Bulk).

Calculated values
The calculation puts the energy relative to the elements, uncorrected at -1.372 eV/atom.

Lattice parameters (Å, degrees): 3.607 3.607 11.433 90.00 90.00 90.00
Positions (direct):
Ac 0.000 0.000 0.000
Ag 0.000 0.000 0.500
As 0.500 0.500 0.238
As 0.500 0.500 0.762
O 0.000 0.500 0.183
O 0.000 0.500 0.817
O 0.500 0.000 0.183
O 0.500 0.000 0.817
O 0.500 0.500 0.000
O 0.500 0.500 0.385
O 0.500 0.500 0.615


Entry 2:
# AcAgAs2O8

A relaxed AcAgAs2O8 crystal (PBE-GGA, Alexandria via LeMat-Bulk).

Calculated values
The calculation puts the energy relative to the elements, uncorrected at -1.345 eV/atom.

Lattice parameters (Å, degrees): 6.294 6.294 6.294 106.78 106.78 115.01
Positions (direct):
Ac 0.000 0.000 0.000
Ag 0.250 0.750 0.500
As 0.500 0.500 0.000
As 0.750 0.250 0.500
O 0.335 0.159 0.824
O 0.335 0.511 0.176
O 0.411 0.086 0.325
O 0.489 0.665 0.824
O 0.761 0.086 0.675
O 0.841 0.665 0.176
O 0.914 0.239 0.325
O 0.914 0.589 0.675


Entry 3:
# Ac2Ag2AsO6

A relaxed Ac2Ag2AsO6 crystal (PBE-GGA, Alexandria via LeMat-Bulk).

Calculated values
The calculation puts the energy relative to the elements, uncorrected at -1.688 eV/atom.

Lattice parameters (Å, degrees): 6.397 6.397 6.356 93.71 93.71 121.78
Positions (direct):
Ac 0.163 0.837 0.000
Ac 0.837 0.163 0.000
Ag 0.361 0.639 0.500
Ag 0.639 0.361 0.500
As 0.500 0.500 0.000
O 0.200 0.200 0.852
O 0.254 0.535 0.174
O 0.465 0.746 0.826
O 0.535 0.254 0.174
O 0.746 0.465 0.826
O 0.800 0.800 0.148


Entry 4:
# AcAgAsP

A relaxed AcAgAsP crystal (PBE-GGA, Alexandria via LeMat-Bulk).

Calculated values
The formation energy comes out at -2.6 eV/f.u.

Lattice parameters (Å, degrees): 4.250 4.424 10.599 90.00 90.00 90.00
Positions (direct):
Ac 0.000 0.000 0.000
Ac 0.500 0.500 0.500
Ag 0.000 0.500 0.240
Ag 0.500 0.000 0.740
As 0.000 0.000 0.377
As 0.500 0.500 0.877
P 0.000 0.000 0.602
P 0.500 0.500 0.102


Entry 5:
# AcAgAsPb

A relaxed AcAgAsPb crystal (PBE-GGA, Alexandria via LeMat-Bulk).

Calculated values
The formation energy comes out at -1.6 eV/f.u.

Lattice parameters (Å, degrees): 7.573 7.573 7.573 90.00 90.00 90.00
Positions (direct):
Ac 0.000 0.000 0.000
Ac 0.000 0.500 0.500
Ac 0.500 0.000 0.500
Ac 0.500 0.500 0.000
Ag 0.250 0.250 0.250
Ag 0.250 0.750 0.750
Ag 0.750 0.250 0.750
Ag 0.750 0.750 0.250
As 0.250 0.250 0.750
As 0.250 0.750 0.250
As 0.750 0.250 0.250
As 0.750 0.750 0.750
Pb 0.000 0.000 0.500
Pb 0.000 0.500 0.000
Pb 0.500 0.000 0.000
Pb 0.500 0.500 0.500


Entry 6:
# AcAgAsPd

A relaxed AcAgAsPd crystal (PBE-GGA, Alexandria via LeMat-Bulk).

Calculated values
The formation energy comes out at -1.6 eV/f.u.

Lattice parameters (Å, degrees): 7.152 7.152 7.152 90.00 90.00 90.00
Positions (direct):
Ac 0.000 0.000 0.000
Ac 0.000 0.500 0.500
Ac 0.500 0.000 0.500
Ac 0.500 0.500 0.000
Ag 0.250 0.250 0.750
Ag 0.250 0.750 0.250
Ag 0.750 0.250 0.250
Ag 0.750 0.750 0.750
As 0.000 0.000 0.500
As 0.000 0.500 0.000
As 0.500 0.000 0.000
As 0.500 0.500 0.500
Pd 0.250 0.250 0.250
Pd 0.250 0.750 0.750
Pd 0.750 0.250 0.750
Pd 0.750 0.750 0.250


Entry 7:
# AcAgAs2Pd

A relaxed AcAgAs2Pd crystal (PBE-GGA, Alexandria via LeMat-Bulk).

Calculated values
The formation energy comes out at -3.5 eV/f.u.

Lattice parameters (Å, degrees): 4.360 4.360 11.511 90.00 90.00 90.00
Positions (direct):
Ac 0.000 0.000 0.000
Ac 0.500 0.500 0.500
Ag 0.000 0.500 0.250
Ag 0.500 0.000 0.750
As 0.000 0.000 0.382
As 0.000 0.000 0.618
As 0.500 0.500 0.118
As 0.500 0.500 0.882
Pd 0.000 0.500 0.750
Pd 0.500 0.000 0.250


Entry 8:
# AcPmAgAs

A relaxed AcPmAgAs crystal (PBE-GGA, Alexandria via LeMat-Bulk).

Calculated values
The formation energy comes out at -2.4 eV/f.u.

Lattice parameters (Å, degrees): 7.591 7.591 7.591 90.00 90.00 90.00
Positions (direct):
Ac 0.000 0.000 0.000
Ac 0.000 0.500 0.500
Ac 0.500 0.000 0.500
Ac 0.500 0.500 0.000
Pm 0.000 0.000 0.500
Pm 0.000 0.500 0.000
Pm 0.500 0.000 0.000
Pm 0.500 0.500 0.500
Ag 0.250 0.250 0.250
Ag 0.250 0.750 0.750
Ag 0.750 0.250 0.750
Ag 0.750 0.750 0.250
As 0.250 0.250 0.750
As 0.250 0.750 0.250
As 0.750 0.250 0.250
As 0.750 0.750 0.750